[1]
! LaFe2Ru | Alexandria via LeMat-Bulk | PBEsol | optimized geometry; values from VASP
! - ΔE_f (meV/atom) = 492
! - space group = I4/mmm, No. 139
&SYSTEM
  ibrav = 0, nat = 4, ntyp = 3
/
ATOMIC_SPECIES
Fe 55.84 Fe.upf
La 138.91 La.upf
Ru 101.07 Ru.upf
CELL_PARAMETERS angstrom
-1.7234 3.2872 -0.7935
-2.4526 -1.8281 -2.2469
-0.6836 -1.3337 5.0371
ATOMIC_POSITIONS crystal
Fe 0.7500 0.2500 0.5000
Fe 0.2500 0.7500 0.5000
La 0.5000 0.5000 0.0000
Ru 0.0000 0.0000 0.0000



[2]
! La3FeSb | Alexandria via LeMat-Bulk | PBEsol | optimized geometry; values from VASP
! - space group = Pm-3m, No. 221
! - formation energy without anion corrections (eV per atom) = -0.503
&SYSTEM
  ibrav = 0, nat = 5, ntyp = 3
/
ATOMIC_SPECIES
Fe 55.84 Fe.upf
La 138.91 La.upf
Sb 121.76 Sb.upf
CELL_PARAMETERS angstrom
5.1427 0.0000 0.0000
0.0000 5.1427 0.0000
0.0000 0.0000 5.1427
ATOMIC_POSITIONS crystal
Fe 0.0000 0.0000 0.0000
La 0.5000 0.0000 0.0000
La 0.0000 0.0000 0.5000
Sb 0.5000 0.5000 0.5000
La 0.0000 0.5000 0.0000



[3]
! LaFe4Sb12 | Alexandria via LeMat-Bulk | PBEsol | optimized geometry; values from VASP
! - space group = Im-3, No. 204
! - formation energy without anion corrections (eV per atom) = -0.286
&SYSTEM
  ibrav = 0, nat = 17, ntyp = 3
/
ATOMIC_SPECIES
Sb 121.76 Sb.upf
Fe 55.84 Fe.upf
La 138.91 La.upf
CELL_PARAMETERS angstrom
7.8372 0.0000 0.0000
-2.6124 7.3890 0.0000
-2.6124 -3.6945 6.3990
ATOMIC_POSITIONS crystal
Sb 0.1638 0.6650 0.8287
Fe 0.0000 0.0000 0.5000
Sb 0.3350 0.1713 0.8362
Sb 0.8362 0.3350 0.1713
Fe 0.5000 0.0000 0.0000
Fe 0.5000 0.5000 0.5000
La 0.0000 0.0000 0.0000
Sb 0.3350 0.4988 0.1638
Sb 0.6650 0.8287 0.1638
Sb 0.1713 0.8362 0.3350
Sb 0.8287 0.1638 0.6650
Sb 0.8362 0.6650 0.5012
Sb 0.5012 0.8362 0.6650
Sb 0.1638 0.3350 0.4988
Fe 0.0000 0.5000 0.0000
Sb 0.4988 0.1638 0.3350
Sb 0.6650 0.5012 0.8362



[4]
! La2Fe4Sb5 | Alexandria via LeMat-Bulk | PBEsol | optimized geometry; values from VASP
! - space group = Imm2, No. 44
! - formation energy without anion corrections (eV per atom) = -0.405
&SYSTEM
  ibrav = 0, nat = 11, ntyp = 3
/
ATOMIC_SPECIES
Fe 55.84 Fe.upf
La 138.91 La.upf
Sb 121.76 Sb.upf
CELL_PARAMETERS angstrom
-3.9489 0.2721 -1.4991
-1.0461 -3.6765 2.0882
-0.9420 8.5306 10.0046
ATOMIC_POSITIONS crystal
Fe 0.9568 0.4490 0.8981
La 0.6551 0.6480 0.2961
Sb 0.7548 0.2477 0.4954
Sb 0.8995 0.8925 0.7850
Fe 0.4587 0.9518 0.9036
La 0.3559 0.3489 0.6977
Fe 0.5585 0.0515 0.1030
Sb 0.5150 0.5072 0.0144
Sb 0.1117 0.1047 0.2093
Sb 0.2561 0.7491 0.4981
Fe 0.0071 0.0000 0.0000



| no. | D(E_F) (states/eV per cell) |
| --- | --- |
| 1 | 4.402 |
| 2 | 3.688 |
| 3 | 16.314 |
| 4 | 11.112 |